The following is a PBE calculation of a relaxed structure of SrZr2Tl, from Alexandria via LeMat-Bulk.

a = 3.286 Å, b = 3.286 Å, c = 11.322 Å
α = 90.00°, β = 90.00°, γ = 116.14°
Fractional coordinates of all 4 atoms:
Sr  0.500  0.500  0.250
Zr  0.000  0.000  0.977
Zr  0.000  0.000  0.523
Tl  0.500  0.500  0.750

- energy of formation (eV per atom) = 0.38
- D(E_F) (states/eV per cell) = 5.51
- E_tot (eV/atom) = -4.9015